VASP calculation (PBE) on CdTe2S after structural relaxation.

POSCAR file:
```
CdTe2S
1.0
0.000 3.631 3.631
3.631 0.000 3.631
3.631 3.631 0.000
S Te Cd
1 2 1
Direct
0.000 0.000 0.000
0.250 0.250 0.250
0.750 0.750 0.750
0.500 0.500 0.500
```

## Properties
ΔE_f (raw) ... 366 meV/atom
Offset from the most stable computed form ... 257 meV per atom

=====

VASP calculation (PBE) on CdTeS after structural relaxation.

POSCAR file:
```
CdTeS
1.0
5.448 0.052 -1.528
-0.382 3.997 -1.298
-10.525 -5.749 12.910
Te S Cd
2 2 2
Direct
0.323 0.444 0.848
0.677 0.556 0.152
0.777 0.936 0.343
0.223 0.064 0.657
0.339 0.323 0.286
0.661 0.677 0.714
```

## Properties
ΔE_f (raw) ... -194 meV/atom
Offset from the most stable computed form ... 0 meV per atom

=====

VASP calculation (PBE) on Cd2TeS after structural relaxation.

POSCAR file:
```
Cd2TeS
1.0
-2.908 -2.880 -1.690
0.843 0.001 4.347
-5.359 4.801 1.039
S Te Cd
1 1 2
Direct
0.667 0.333 0.121
0.000 0.000 0.630
0.667 0.333 0.473
0.000 0.000 0.024
```

## Properties
ΔE_f (raw) ... -500 meV/atom
Offset from the most stable computed form ... 29 meV per atom